(1)
# SrAsAu, relaxed, DFT PBE
# Calculated total energy in eV/atom: -4.135
data_SrAsAu
_space_group_name_H-M_alt 'P 63/m m c'
_space_group_IT_number 194
_space_group_name_Hall '-P 6c 2c'
_cell_length_a 4.5155
_cell_length_b 4.5155
_cell_length_c 8.5466
_cell_angle_alpha 90.00
_cell_angle_beta 90.00
_cell_angle_gamma 120.00
loop_
_atom_site_label
_atom_site_type_symbol
_atom_site_fract_x
_atom_site_fract_y
_atom_site_fract_z
_atom_site_occupancy
Sr1 Sr 0.0000 0.0000 0.0000 1
As1 As 0.3333 0.6667 0.2500 1
Au1 Au 0.3333 0.6667 0.7500 1

=====

(2)
# SrAs2Au, relaxed, DFT PBE
# Calculated total energy in eV/atom: -3.781
data_SrAs2Au
_space_group_name_H-M_alt 'F -4 3 m'
_space_group_IT_number 216
_space_group_name_Hall 'F -4 2 3'
_cell_length_a 7.169
_cell_length_b 7.169
_cell_length_c 7.169
_cell_angle_alpha 90.00
_cell_angle_beta 90.00
_cell_angle_gamma 90.00
loop_
_atom_site_label
_atom_site_type_symbol
_atom_site_fract_x
_atom_site_fract_y
_atom_site_fract_z
_atom_site_occupancy
Sr1 Sr 0.000 0.000 0.000 1
As1 As 0.000 0.000 0.500 1
As2 As 0.250 0.250 0.750 1
Au1 Au 0.250 0.250 0.250 1

=====

(3)
# SrAs2Au, relaxed, DFT PBE
# Calculated total energy in eV/atom: -3.781
data_SrAs2Au
_space_group_name_H-M_alt 'F -4 3 m'
_space_group_IT_number 216
_space_group_name_Hall 'F -4 2 3'
_cell_length_a 7.169
_cell_length_b 7.169
_cell_length_c 7.169
_cell_angle_alpha 90.00
_cell_angle_beta 90.00
_cell_angle_gamma 90.00
loop_
_atom_site_label
_atom_site_type_symbol
_atom_site_fract_x
_atom_site_fract_y
_atom_site_fract_z
_atom_site_occupancy
Sr1 Sr 0.000 0.000 0.000 1
As1 As 0.000 0.000 0.500 1
As2 As 0.250 0.250 0.250 1
Au1 Au 0.250 0.250 0.750 1

=====

(4)
# Sr2AsAu, relaxed, DFT PBE
# Calculated total energy in eV/atom: -3.188
data_Sr2AsAu
_space_group_name_H-M_alt 'F -4 3 m'
_space_group_IT_number 216
_space_group_name_Hall 'F -4 2 3'
_cell_length_a 7.499
_cell_length_b 7.499
_cell_length_c 7.499
_cell_angle_alpha 90.00
_cell_angle_beta 90.00
_cell_angle_gamma 90.00
loop_
_atom_site_label
_atom_site_type_symbol
_atom_site_fract_x
_atom_site_fract_y
_atom_site_fract_z
_atom_site_occupancy
Sr1 Sr 0.000 0.000 0.000 1
Sr2 Sr 0.250 0.250 0.250 1
As1 As 0.000 0.000 0.500 1
Au1 Au 0.250 0.250 0.750 1

=====

Question: What is the calculated total energy in the fourth record?
Answer: -3.188 eV/atom

=====

Question: Number 1 is which compound?
Answer: SrAsAu

=====

Question: The lowest calculated total energy belongs to which entry?
Answer: SrAsAu